# 1
Below is crystalline PSeBr2 at its relaxed geometry, with properties calculated at the PBE-GGA level.

abc: 4.570 4.570 7.780
angles: 85.25 85.25 44.17
Sites, in units of the cell vectors:
1 P 0.500 0.500 0.000
2 Se 0.000 0.000 0.500
3 Br 0.139 0.139 0.793
4 Br 0.861 0.861 0.207

Calculated values
DFT total energy ... -2.568 eV per atom
Fermi-level density of states ... 0.3497 states/eV per atom
E above lowest polymorph ... 550 meV/atom
Calculated volume ... 112.8 Å³ per cell

***

# 2
Below is crystalline CoN at its relaxed geometry, with properties calculated at the PBE-GGA level.

abc: 2.835 2.835 2.835
angles: 60.00 60.00 60.00
Sites, in units of the cell vectors:
1 N 0.500 0.500 0.500
2 Co 0.000 0.000 0.000

Calculated values
DFT total energy ... -7.205 eV per atom
Fermi-level density of states ... 1.7236 states/eV per atom
E above lowest polymorph ... 405 meV/atom
Calculated volume ... 16.1 Å³ per cell

***

# 3
Below is crystalline Cs2NF at its relaxed geometry, with properties calculated at the PBE-GGA level.

abc: 5.153 5.153 5.153
angles: 60.00 60.00 60.00
Sites, in units of the cell vectors:
1 Cs 0.250 0.250 0.250
2 F 0.500 0.500 0.500
3 N 0.000 0.000 0.000
4 Cs 0.750 0.750 0.750

Calculated values
DFT total energy ... -3.437 eV per atom
Fermi-level density of states ... 1.4195 states/eV per atom
Calculated volume ... 96.8 Å³ per cell

***

# 4
Below is crystalline Ca2LaThP4 at its relaxed geometry, with properties calculated at the PBE-GGA level.

abc: 4.230 7.346 7.141
angles: 110.04 90.00 90.00
Sites, in units of the cell vectors:
1 P 0.000 0.245 0.755
2 P 0.500 0.241 0.241
3 P 0.500 0.759 0.759
4 P 0.000 0.755 0.245
5 Ca 0.000 0.500 0.500
6 Th 0.000 0.000 0.000
7 La 0.500 0.500 0.000
8 Ca 0.500 0.000 0.500

Calculated values
DFT total energy ... -6.023 eV per atom
Fermi-level density of states ... 1.0935 states/eV per atom
Calculated volume ... 208.5 Å³ per cell

***

# 5
Below is crystalline V4Ru at its relaxed geometry, with properties calculated at the PBE-GGA level.

abc: 10.434 10.312 2.670
angles: 85.20 80.02 14.78
Sites, in units of the cell vectors:
1 V 0.400 0.400 0.600
2 V 0.600 0.600 0.400
3 V 0.800 0.800 0.200
4 Ru 0.000 0.000 0.000
5 V 0.200 0.200 0.800

Calculated values
DFT total energy ... -9.240 eV per atom
Fermi-level density of states ... 1.3685 states/eV per atom
E above lowest polymorph ... 169 meV/atom
Calculated volume ... 68.0 Å³ per cell

***

# 6
Below is crystalline BeSi2Rh4 at its relaxed geometry, with properties calculated at the PBE-GGA level.

abc: 4.017 4.017 6.727
angles: 72.63 72.63 90.00
Sites, in units of the cell vectors:
1 Rh 0.000 0.500 0.000
2 Rh 0.185 0.185 0.629
3 Be 0.000 0.000 0.000
4 Si 0.371 0.371 0.259
5 Rh 0.500 0.000 0.000
6 Si 0.629 0.629 0.741
7 Rh 0.815 0.815 0.371

Calculated values
DFT total energy ... -6.539 eV per atom
Fermi-level density of states ... 0.2190 states/eV per atom
Calculated volume ... 98.4 Å³ per cell

***

# 7
Below is crystalline CeUB2 at its relaxed geometry, with properties calculated at the PBE-GGA level.

abc: 3.694 3.694 6.362
angles: 73.13 73.13 60.00
Sites, in units of the cell vectors:
1 B 0.262 0.262 0.214
2 U 0.000 0.000 0.000
3 Ce 0.500 0.500 0.500
4 B 0.738 0.738 0.786

Calculated values
DFT total energy ... -7.339 eV per atom
Fermi-level density of states ... 1.7120 states/eV per atom
Calculated volume ... 70.8 Å³ per cell

***

# 8
Below is crystalline Cu3Te2H2 at its relaxed geometry, with properties calculated at the PBE-GGA level.

abc: 2.947 6.324 9.237
angles: 40.82 81.04 76.87
Sites, in units of the cell vectors:
1 Te 0.143 0.031 0.683
2 Cu 0.000 0.000 0.000
3 Cu 0.169 0.420 0.239
4 H 0.414 0.316 0.856
5 Te 0.857 0.969 0.317
6 Cu 0.831 0.580 0.761
7 H 0.586 0.684 0.144

Calculated values
DFT total energy ... -3.461 eV per atom
Fermi-level density of states ... 0.2566 states/eV per atom
Calculated volume ... 109.6 Å³ per cell

***

# 9
Below is crystalline GeSe2BrN at its relaxed geometry, with properties calculated at the PBE-GGA level.

abc: 5.426 5.426 3.497
angles: 90.00 90.00 90.00
Sites, in units of the cell vectors:
1 Se 0.500 0.000 0.000
2 Ge 0.000 0.000 0.000
3 Br 0.500 0.500 0.500
4 N 0.000 0.000 0.500
5 Se 0.000 0.500 0.000

Calculated values
DFT total energy ... -3.461 eV per atom
Fermi-level density of states ... 0.7613 states/eV per atom
E above lowest polymorph ... 0 meV/atom
Calculated volume ... 103.0 Å³ per cell

***

Copy entry 9 word for word.
Below is crystalline GeSe2BrN at its relaxed geometry, with properties calculated at the PBE-GGA level.

abc: 5.426 5.426 3.497
angles: 90.00 90.00 90.00
Sites, in units of the cell vectors:
1 Se 0.500 0.000 0.000
2 Ge 0.000 0.000 0.000
3 Br 0.500 0.500 0.500
4 N 0.000 0.000 0.500
5 Se 0.000 0.500 0.000

Calculated values
DFT total energy ... -3.461 eV per atom
Fermi-level density of states ... 0.7613 states/eV per atom
E above lowest polymorph ... 0 meV/atom
Calculated volume ... 103.0 Å³ per cell